1.
Density functional theory data (PBE) for an optimized crystal structure of PrErSc2Hg4.

Summary:
* space-group type: R-3m (166)
* DFT formation energy: -0.4272 eV/atom

Cell: 9.037 9.037 9.037 Å, 33.15 33.15 33.15°
Element x y z (fractional)
Pr  0.000  0.000  0.000
Er  0.500  0.500  0.500
Sc  0.249  0.249  0.249
Sc  0.751  0.751  0.751
Hg  0.128  0.128  0.128
Hg  0.380  0.380  0.380
Hg  0.620  0.620  0.620
Hg  0.872  0.872  0.872

---

2.
Density functional theory data (PBE) for an optimized crystal structure of PrEr2ScHg4.

Summary:
* space-group type: R-3m (166)
* DFT formation energy: -0.4399 eV/atom

Cell: 9.220 9.220 9.220 Å, 32.65 32.65 32.65°
Element x y z (fractional)
Pr  0.000  0.000  0.000
Er  0.247  0.247  0.247
Er  0.753  0.753  0.753
Sc  0.500  0.500  0.500
Hg  0.129  0.129  0.129
Hg  0.383  0.383  0.383
Hg  0.617  0.617  0.617
Hg  0.871  0.871  0.871

---

3.
Density functional theory data (PBE) for an optimized crystal structure of PrEr2Sn2Hg2.

Summary:
* space-group type: R-3m (166)
* DFT formation energy: -0.3433 eV/atom

Cell: 9.352 9.352 9.352 Å, 31.05 31.05 31.05°
Element x y z (fractional)
Pr  0.000  0.000  0.000
Er  0.132  0.132  0.132
Er  0.868  0.868  0.868
Sn  0.266  0.266  0.266
Sn  0.734  0.734  0.734
Hg  0.435  0.435  0.435
Hg  0.565  0.565  0.565

---

4.
Density functional theory data (PBE) for an optimized crystal structure of Tb2PrErHg4.

Summary:
* space-group type: R-3m (166)
* DFT formation energy: -0.4684 eV/atom

Cell: 9.267 9.267 9.267 Å, 33.22 33.22 33.22°
Element x y z (fractional)
Tb  0.249  0.249  0.249
Tb  0.751  0.751  0.751
Pr  0.000  0.000  0.000
Er  0.500  0.500  0.500
Hg  0.128  0.128  0.128
Hg  0.379  0.379  0.379
Hg  0.621  0.621  0.621
Hg  0.872  0.872  0.872

---

5.
Density functional theory data (PBE) for an optimized crystal structure of TbPrErHg.

Summary:
* relative energy among the computed polymorphs: 0 meV per atom
* space-group type: P4mm (99)
* DFT formation energy: -0.2337 eV/atom

Cell: 3.661 3.661 8.875 Å, 90.00 90.00 90.00°
Element x y z (fractional)
Tb  0.000  0.000  0.000
Pr  0.500  0.500  0.287
Er  0.000  0.000  0.571
Hg  0.500  0.500  0.779

---

6.
Density functional theory data (PBE) for an optimized crystal structure of TbPrErHg.

Summary:
* relative energy among the computed polymorphs: 168 meV per atom
* space-group type: F-43m (216)
* DFT formation energy: -0.0659 eV/atom

Cell: 5.479 5.479 5.479 Å, 60.00 60.00 60.00°
Element x y z (fractional)
Tb  0.000  0.000  0.000
Pr  0.500  0.500  0.500
Er  0.750  0.750  0.750
Hg  0.250  0.250  0.250